# Sm4AlTlAg2 PBE optimized geometry
data_Sm4AlTlAg2
_chemical_formula_sum 'Sm12 Al3 Tl3 Ag6'
_space_group_name_H-M_alt 'R -3 m'
_space_group_IT_number 166
_space_group_name_Hall '-R 3 2"'
_cell_length_a 5.3073
_cell_length_b 5.3073
_cell_length_c 26.1570
_cell_angle_alpha 90.00
_cell_angle_beta 90.00
_cell_angle_gamma 120.00
loop_
_atom_site_label
_atom_site_fract_x
_atom_site_fract_y
_atom_site_fract_z
Sm1 0.0000 0.0000 0.1221
Sm2 0.0000 0.0000 0.3724
Al1 0.0000 0.0000 0.0000
Tl1 0.0000 0.0000 0.5000
Ag1 0.0000 0.0000 0.2518
# formation energy	-2.54	eV/f.u.
# V	26.59	Å³ per atom
# total energy	-4.153	eV/atom

***

# Sm2Al3Zn4Ag PBE optimized geometry
data_Sm2Al3Zn4Ag
_chemical_formula_sum 'Sm2 Al3 Zn4 Ag1'
_space_group_name_H-M_alt 'P -4 m 2'
_space_group_IT_number 115
_cell_length_a 4.2753
_cell_length_b 4.2753
_cell_length_c 10.6838
_cell_angle_alpha 90.00
_cell_angle_beta 90.00
_cell_angle_gamma 90.00
loop_
_space_group_symop_operation_xyz
'x,y,z'
'y,-x,-z'
'-x,-y,z'
'-y,x,-z'
'-x,y,z'
'-y,-x,-z'
'x,-y,z'
'y,x,-z'
loop_
_atom_site_label
_atom_site_fract_x
_atom_site_fract_y
_atom_site_fract_z
Sm1 0.0000 0.5000 0.2438
Al1 0.0000 0.5000 0.8679
Al2 0.5000 0.5000 0.5000
Zn1 0.0000 0.0000 0.0000
Zn2 0.0000 0.5000 0.6387
Zn3 0.5000 0.5000 0.0000
Ag1 0.0000 0.0000 0.5000
# formation energy	-3.43	eV/f.u.
# V	19.53	Å³ per atom
# total energy	-3.204	eV/atom

***

# Sm2Al4Zn3Ag PBE optimized geometry
data_Sm2Al4Zn3Ag
_chemical_formula_sum 'Sm2 Al4 Zn3 Ag1'
_space_group_name_H-M_alt 'P -4 m 2'
_space_group_IT_number 115
_cell_length_a 4.2470
_cell_length_b 4.2470
_cell_length_c 10.7964
_cell_angle_alpha 90.00
_cell_angle_beta 90.00
_cell_angle_gamma 90.00
loop_
_space_group_symop_operation_xyz
'x,y,z'
'y,-x,-z'
'-x,-y,z'
'-y,x,-z'
'-x,y,z'
'-y,-x,-z'
'x,-y,z'
'y,x,-z'
loop_
_atom_site_label
_atom_site_fract_x
_atom_site_fract_y
_atom_site_fract_z
Sm1 0.0000 0.5000 0.2447
Al1 0.0000 0.0000 0.0000
Al2 0.0000 0.5000 0.6363
Al3 0.5000 0.5000 0.0000
Zn1 0.0000 0.5000 0.8637
Zn2 0.5000 0.5000 0.5000
Ag1 0.0000 0.0000 0.5000
# formation energy	-3.90	eV/f.u.
# V	19.47	Å³ per atom
# total energy	-3.498	eV/atom